No. 1
# SrP2Cl

A relaxed SrP2Cl crystal (PBE, Alexandria via LeMat-Bulk).

Space-group type   I-42d, No. 122
Energy   -4.318 eV/atom
Relative energy among the computed polymorphs   239 meV per atom
Uncorrected formation energy   -730.5 meV per atom

Unit cell a=3.958 b=3.958 c=13.056 alpha=81.28 beta=81.28 gamma=90.00
Positions (direct):
Cl (0.500, 0.500, 0.000)
P (0.532, 0.625, 0.250)
Cl (0.250, 0.750, 0.500)
P (0.375, 0.782, 0.750)
P (0.875, 0.468, 0.750)
Sr (0.000, 0.000, 0.000)
Sr (0.750, 0.250, 0.500)
P (0.218, 0.125, 0.250)

No. 2
# SrP2Cl

A relaxed SrP2Cl crystal (PBE, Alexandria via LeMat-Bulk).

Space-group type   P4/mmm, No. 123
Energy   -3.470 eV/atom
Relative energy among the computed polymorphs   1087 meV per atom
Uncorrected formation energy   117.1 meV per atom

Unit cell a=5.195 b=5.195 c=3.376 alpha=90.00 beta=90.00 gamma=90.00
Positions (direct):
Cl (0.000, 0.500, 0.500)
Sr (0.500, 0.000, 0.500)
P (0.000, 0.000, 0.000)
P (0.500, 0.500, 0.000)

No. 3
# SrP4Cl

A relaxed SrP4Cl crystal (PBE, Alexandria via LeMat-Bulk).

Space-group type   F-43m, No. 216
Energy   -4.588 eV/atom
Uncorrected formation energy   -393.1 meV per atom

Unit cell a=5.722 b=5.722 c=5.722 alpha=60.00 beta=60.00 gamma=60.00
Positions (direct):
Cl (0.000, 0.000, 0.000)
Sr (0.750, 0.750, 0.750)
P (0.952, 0.349, 0.349)
P (0.349, 0.349, 0.952)
P (0.349, 0.952, 0.349)
P (0.349, 0.349, 0.349)

No. 4
# SrP2Cl

A relaxed SrP2Cl crystal (PBE, Alexandria via LeMat-Bulk).

Space-group type   P4/mmm, No. 123
Energy   -4.287 eV/atom
Relative energy among the computed polymorphs   270 meV per atom
Uncorrected formation energy   -699.8 meV per atom

Unit cell a=4.499 b=4.501 c=5.688 alpha=90.00 beta=90.00 gamma=90.00
Each line ends with the local moment (μB).
Positions (direct):
P (0.000, 0.000, 0.428)  0.08
Sr (0.500, 0.500, 0.250)  0.01
P (0.000, 0.000, 0.072)  0.08
Cl (0.500, 0.500, 0.750)  0.02

| no. | volume (Å³ per cell) | DOS at the Fermi energy (states/eV/atom) |
| --- | --- | --- |
| 1 | 199.78 | 0.4206 |
| 2 | 91.12 | 0.3636 |
| 3 | 132.49 | 0.8960 |
| 4 | 115.17 | 0.8259 |